## 1
VASP calculation (PBE-GGA) on a relaxed structure of Th2AlAu3.

Output
For the total magnetization, the calculation gives 0.0 μB/cell. Its space group is Fmmm (69). As for the crystal system: orthorhombic.

Cell: 5.8975 5.8975 8.9456 Å, 103.39 103.39 107.29°
With the nearest neighbours (Å) after each atom.
Fractional coordinates of all 12 atoms:
Th1 0.2500 0.7500 0.5000  8 Au 3.22, 4 Al 3.25, 2 Th 3.50
Th2 0.7657 0.7657 0.0000  10 Au 3.24-3.31, 1 Th 3.28, 2 Al 3.31
Th3 0.7500 0.2500 0.5000  8 Au 3.22, 4 Al 3.25, 2 Th 3.50
Th4 0.2343 0.2343 0.0000  10 Au 3.24-3.31, 1 Th 3.28, 2 Al 3.31
Al1 0.6665 0.6665 0.3330  3 Au 2.61-2.66
Al2 0.3335 0.3335 0.6670  3 Au 2.61-2.66
Au1 0.3494 0.8227 0.1721  1 Al 2.61, 2 Au 2.83-2.87
Au2 0.1773 0.6506 0.8279  1 Al 2.61, 2 Au 2.83-2.87
Au3 0.6506 0.1773 0.8279  1 Al 2.61, 2 Au 2.83-2.87
Au4 0.8227 0.3494 0.1721  1 Al 2.61, 2 Au 2.83-2.87
Au5 0.1720 0.1720 0.3439  1 Al 2.66, 2 Au 2.87
Au6 0.8280 0.8280 0.6561  1 Al 2.66, 2 Au 2.87



## 2
VASP calculation (PBE-GGA) on a relaxed structure of Th2AlAu3.

Output
For the total magnetization, the calculation gives 0.0 μB/cell. Its space group is Imm2 (44). As for the crystal system: orthorhombic.

Cell: 4.4960 3.8813 8.8458 Å, 102.67 104.72 90.00°
With the nearest neighbours (Å) after each atom.
Fractional coordinates of all 6 atoms:
Th1 0.1305 0.1305 0.2611  10 Au 3.22-3.44
Th2 0.8684 0.3684 0.7368  6 Au 3.18-3.34, 4 Al 3.29
Al1 0.4532 0.9532 0.9064  3 Au 2.44-2.54
Au1 0.7052 0.7052 0.4104  3 Au 2.72-2.76
Au2 0.5418 0.5418 0.0836  2 Al 2.44, 1 Au 2.72
Au3 0.3008 0.8008 0.6017  1 Al 2.54, 2 Au 2.76



Most favorable first, least favorable last: 1, 2



## 1
VASP calculation (PBE-GGA) on a relaxed structure of TiAlAu4.

Output
For the total magnetization, the calculation gives 0.0 μB/cell. Its space group is P4/mmm (123). As for the crystal system: tetragonal.

Cell: 4.4141 4.4151 6.0491 Å, 89.98 89.99 90.00°
With the nearest neighbours (Å) after each atom.
Fractional coordinates of all 6 atoms:
Ti1 0.5013 0.4972 0.9982  8 Au 2.70
Al1 0.0013 0.9973 0.4981  8 Au 2.65
Au1 0.5013 0.9971 0.2553  2 Al 2.65, 2 Ti 2.70, 1 Au 2.94
Au2 0.5012 0.9974 0.7409  2 Al 2.65, 2 Ti 2.70, 1 Au 2.94
Au3 0.0014 0.4973 0.7408  2 Al 2.65, 2 Ti 2.70, 1 Au 2.94
Au4 0.0012 0.4974 0.2554  2 Al 2.65, 2 Ti 2.70, 1 Au 2.94



## 2
VASP calculation (PBE-GGA) on a relaxed structure of TiAlAu4.

Output
For the total magnetization, the calculation gives 0.0 μB/cell. Its space group is C2/m (12). As for the crystal system: monoclinic.

Cell: 3.5035 4.9536 6.9334 Å, 102.62 75.37 69.29°
With the nearest neighbours (Å) after each atom.
Fractional coordinates of all 6 atoms:
Ti1 0.0000 0.0000 0.0000  10 Au 2.82-2.90
Al1 0.5000 0.5000 0.5000  10 Au 2.74-2.99
Au1 0.8349 0.4989 0.8313  5 Au 2.79-2.88, 3 Ti 2.82-2.90, 2 Al 2.83
Au2 0.3220 0.0225 0.3336  3 Al 2.74-2.99, 5 Au 2.79-2.90, 2 Ti 2.82
Au3 0.1651 0.5011 0.1687  5 Au 2.79-2.88, 3 Ti 2.82-2.90, 2 Al 2.83
Au4 0.6780 0.9775 0.6664  3 Al 2.74-2.99, 5 Au 2.79-2.90, 2 Ti 2.82



Most favorable first, least favorable last: 2, 1



## 1
VASP calculation (PBE-GGA) on a relaxed structure of TiAlAu3.

Output
For the total magnetization, the calculation gives 0.4 μB/cell. Its space group is Pm-3m (221). As for the crystal system: cubic.

Cell: 6.3928 6.3928 6.3928 Å, 90.00 90.00 90.00°
With the nearest neighbours (Å) after each atom.
Fractional coordinates of all 15 atoms:
Ti1 0.0000 0.5000 0.5000  8 Au 2.83
Ti2 0.5000 0.0000 0.5000  8 Au 2.83
Ti3 0.5000 0.5000 0.0000  8 Au 2.83
Al1 0.5000 0.0000 0.0000  8 Au 2.71
Al2 0.0000 0.5000 0.0000  8 Au 2.71
Al3 0.0000 0.0000 0.5000  8 Au 2.71
Au1 0.5000 0.5000 0.5000  8 Au 2.95, 6 Ti 3.20
Au2 0.2334 0.2334 0.2334  3 Al 2.71, 3 Ti 2.83, 4 Au 2.95-2.98
Au3 0.7666 0.7666 0.2334  3 Al 2.71, 3 Ti 2.83, 4 Au 2.95-2.98
Au4 0.7666 0.2334 0.7666  3 Al 2.71, 3 Ti 2.83, 4 Au 2.95-2.98
Au5 0.2334 0.7666 0.7666  3 Al 2.71, 3 Ti 2.83, 4 Au 2.95-2.98
Au6 0.2334 0.2334 0.7666  3 Al 2.71, 3 Ti 2.83, 4 Au 2.95-2.98
Au7 0.7666 0.7666 0.7666  3 Al 2.71, 3 Ti 2.83, 4 Au 2.95-2.98
Au8 0.2334 0.7666 0.2334  3 Al 2.71, 3 Ti 2.83, 4 Au 2.95-2.98
Au9 0.7666 0.2334 0.2334  3 Al 2.71, 3 Ti 2.83, 4 Au 2.95-2.98



## 2
VASP calculation (PBE-GGA) on a relaxed structure of TiAlAu3.

Output
For the total magnetization, the calculation gives 0.0 μB/cell. Its space group is Imma (74). As for the crystal system: orthorhombic.

Cell: 4.7137 4.6645 9.1795 Å, 104.72 104.91 90.00°
With the nearest neighbours (Å) after each atom.
Fractional coordinates of all 10 atoms:
Ti1 0.1317 0.3818 0.7637  6 Au 2.66-2.77
Ti2 0.8683 0.6182 0.2364  6 Au 2.66-2.77
Al1 0.3660 0.1161 0.2322  7 Au 2.65-2.82
Al2 0.6340 0.8839 0.7678  7 Au 2.65-2.82
Au1 0.7888 0.0388 0.0775  3 Al 2.65-2.70, 2 Ti 2.70, 3 Au 2.70-2.86
Au2 0.2112 0.9612 0.9225  3 Al 2.65-2.70, 2 Ti 2.70, 3 Au 2.70-2.86
Au3 0.4411 0.6908 0.3817  2 Al 2.66, 2 Ti 2.66, 2 Au 2.95
Au4 0.5589 0.3092 0.6183  2 Al 2.66, 2 Ti 2.66, 2 Au 2.95
Au5 0.0448 0.7941 0.5881  3 Ti 2.77-3.01, 5 Au 2.78-2.95, 2 Al 2.81-2.82
Au6 0.9552 0.2059 0.4119  3 Ti 2.77-3.01, 5 Au 2.78-2.95, 2 Al 2.81-2.82



Most favorable first, least favorable last: 1, 2